Y3MnHg: relaxed, PBEsol.

Summary:
The symmetry is Pm-3m (221). The value obtained for the formation energy is 0.131 eV per atom.

a b c (Å): 5.0652 5.0652 5.0652
angles (deg): 90.00 90.00 90.00
Last column: nearest neighbours and their distance in Å.
Element x y z (fractional)
Y  0.5000  0.0000  0.0000  2 Mn 2.53
Y  0.0000  0.5000  0.0000  2 Mn 2.53
Y  0.0000  0.0000  0.5000  2 Mn 2.53
Mn  0.0000  0.0000  0.0000  6 Y 2.53
Hg  0.5000  0.5000  0.5000  12 Y 3.58